# 1
# La2MgTiAu

A geometry-optimized La2MgTiAu structure (PBE, Alexandria via LeMat-Bulk).

Output
- Crystal system: tetragonal
- E_form: 1.0 eV per formula unit
- Uncorrected energy: -0.318 Ry per atom

Cell: 5.865 5.865 5.020 Å, 90.00 90.00 90.00°
Positions (direct):
La1 0.000 0.500 0.000
La2 0.500 0.000 0.000
Mg1 0.000 0.000 0.500
Ti1 0.500 0.500 0.500
Au1 0.500 0.500 0.000


# 2
# LaMgTlAu

A geometry-optimized LaMgTlAu structure (PBE, Alexandria via LeMat-Bulk).

Output
- Crystal system: cubic
- E_form: -2.1 eV per formula unit
- Uncorrected energy: -0.262 Ry per atom

Cell: 7.388 7.388 7.388 Å, 90.00 90.00 90.00°
Positions (direct):
La1 0.000 0.000 0.000
La2 0.000 0.500 0.500
La3 0.500 0.000 0.500
La4 0.500 0.500 0.000
Mg1 0.000 0.000 0.500
Mg2 0.000 0.500 0.000
Mg3 0.500 0.000 0.000
Mg4 0.500 0.500 0.500
Tl1 0.250 0.250 0.750
Tl2 0.250 0.750 0.250
Tl3 0.750 0.250 0.250
Tl4 0.750 0.750 0.750
Au1 0.250 0.250 0.250
Au2 0.250 0.750 0.750
Au3 0.750 0.250 0.750
Au4 0.750 0.750 0.250


# 3
# LaTmMg2Au4

A geometry-optimized LaTmMg2Au4 structure (PBE, Alexandria via LeMat-Bulk).

Output
- Crystal system: trigonal
- E_form: -6.1 eV per formula unit
- Uncorrected energy: -0.292 Ry per atom

Cell: 9.114 9.114 9.114 Å, 30.77 30.77 30.77°
Positions (direct):
La1 0.000 0.000 0.000
Tm1 0.500 0.500 0.500
Mg1 0.244 0.244 0.244
Mg2 0.756 0.756 0.756
Au1 0.125 0.125 0.125
Au2 0.390 0.390 0.390
Au3 0.610 0.610 0.610
Au4 0.875 0.875 0.875


# 4
# La2MgWAu

A geometry-optimized La2MgWAu structure (PBE, Alexandria via LeMat-Bulk).

Output
- Crystal system: tetragonal
- E_form: 5.7 eV per formula unit
- Uncorrected energy: -0.323 Ry per atom

Cell: 5.683 5.683 4.765 Å, 90.00 90.00 90.00°
Positions (direct):
La1 0.000 0.500 0.000
La2 0.500 0.000 0.000
Mg1 0.000 0.000 0.000
W1 0.000 0.000 0.500
Au1 0.500 0.500 0.500


# 5
# LaYMg2Au4

A geometry-optimized LaYMg2Au4 structure (PBE, Alexandria via LeMat-Bulk).

Output
- Crystal system: trigonal
- E_form: -6.0 eV per formula unit
- Uncorrected energy: -0.310 Ry per atom

Cell: 8.701 8.701 8.701 Å, 33.34 33.34 33.34°
Positions (direct):
La1 0.000 0.000 0.000
Y1 0.500 0.500 0.500
Mg1 0.248 0.248 0.248
Mg2 0.752 0.752 0.752
Au1 0.129 0.129 0.129
Au2 0.380 0.380 0.380
Au3 0.620 0.620 0.620
Au4 0.871 0.871 0.871


# 6
# LaY2MgAu4

A geometry-optimized LaY2MgAu4 structure (PBE, Alexandria via LeMat-Bulk).

Output
- Crystal system: trigonal
- E_form: -6.2 eV per formula unit
- Uncorrected energy: -0.356 Ry per atom

Cell: 9.041 9.041 9.041 Å, 32.35 32.35 32.35°
Positions (direct):
La1 0.000 0.000 0.000
Y1 0.239 0.239 0.239
Y2 0.761 0.761 0.761
Mg1 0.500 0.500 0.500
Au1 0.122 0.122 0.122
Au2 0.390 0.390 0.390
Au3 0.610 0.610 0.610
Au4 0.878 0.878 0.878


# 7
# LaMgZn5Au2

A geometry-optimized LaMgZn5Au2 structure (PBE, Alexandria via LeMat-Bulk).

Output
- Crystal system: tetragonal
- E_form: -1.1 eV per formula unit
- Uncorrected energy: -0.168 Ry per atom

Cell: 4.923 4.923 7.741 Å, 90.00 90.00 90.00°
Positions (direct):
La1 0.000 0.000 0.000
Mg1 0.000 0.000 0.500
Zn1 0.000 0.500 0.259
Zn2 0.000 0.500 0.741
Zn3 0.500 0.000 0.259
Zn4 0.500 0.000 0.741
Zn5 0.500 0.500 0.000
Au1 0.500 0.500 0.325
Au2 0.500 0.500 0.675


# 8
# LaMg2Zn2Au2

A geometry-optimized LaMg2Zn2Au2 structure (PBE, Alexandria via LeMat-Bulk).

Output
- Crystal system: trigonal
- E_form: -3.5 eV per formula unit
- Uncorrected energy: -0.217 Ry per atom

Cell: 8.653 8.653 8.653 Å, 30.72 30.72 30.72°
Positions (direct):
La1 0.000 0.000 0.000
Mg1 0.134 0.134 0.134
Mg2 0.866 0.866 0.866
Zn1 0.414 0.414 0.414
Zn2 0.586 0.586 0.586
Au1 0.248 0.248 0.248
Au2 0.752 0.752 0.752


# 9
# LaMgZn2Au

A geometry-optimized LaMgZn2Au structure (PBE, Alexandria via LeMat-Bulk).

Output
- Crystal system: orthorhombic
- E_form: -2.3 eV per formula unit
- Uncorrected energy: -0.216 Ry per atom

Cell: 4.167 4.241 12.311 Å, 90.00 90.00 90.00°
Positions (direct):
La1 0.000 0.000 0.000
La2 0.500 0.500 0.500
Mg1 0.000 0.500 0.750
Mg2 0.500 0.000 0.250
Zn1 0.000 0.000 0.611
Zn2 0.000 0.500 0.245
Zn3 0.500 0.000 0.745
Zn4 0.500 0.500 0.111
Au1 0.000 0.000 0.394
Au2 0.500 0.500 0.894


# 10
# LaMgZn2Au2

A geometry-optimized LaMgZn2Au2 structure (PBE, Alexandria via LeMat-Bulk).

Output
- Crystal system: trigonal
- E_form: -3.4 eV per formula unit
- Uncorrected energy: -0.233 Ry per atom

Cell: 4.561 4.561 6.949 Å, 90.00 90.00 120.00°
Positions (direct):
La1 0.000 0.000 0.000
Mg1 0.000 0.000 0.500
Zn1 0.333 0.667 0.302
Zn2 0.667 0.333 0.698
Au1 0.333 0.667 0.713
Au2 0.667 0.333 0.287


# 11
# LaMgZnAu2

A geometry-optimized LaMgZnAu2 structure (PBE, Alexandria via LeMat-Bulk).

Output
- Crystal system: tetragonal
- E_form: -3.1 eV per formula unit
- Uncorrected energy: -0.257 Ry per atom

Cell: 4.155 4.155 12.867 Å, 90.00 90.00 90.00°
Positions (direct):
La1 0.000 0.000 0.000
La2 0.500 0.500 0.500
Mg1 0.000 0.500 0.250
Mg2 0.500 0.000 0.750
Zn1 0.000 0.500 0.750
Zn2 0.500 0.000 0.250
Au1 0.000 0.000 0.389
Au2 0.000 0.000 0.611
Au3 0.500 0.500 0.111
Au4 0.500 0.500 0.889


# 12
# La2MgZn3Au4

A geometry-optimized La2MgZn3Au4 structure (PBE, Alexandria via LeMat-Bulk).

Output
- Crystal system: tetragonal
- E_form: -5.8 eV per formula unit
- Uncorrected energy: -0.251 Ry per atom

Cell: 4.299 4.299 11.717 Å, 90.00 90.00 90.00°
Positions (direct):
La1 0.000 0.500 0.238
La2 0.500 0.000 0.762
Mg1 0.000 0.000 0.500
Zn1 0.000 0.500 0.868
Zn2 0.500 0.000 0.132
Zn3 0.500 0.500 0.500
Au1 0.000 0.000 0.000
Au2 0.000 0.500 0.646
Au3 0.500 0.000 0.354
Au4 0.500 0.500 0.000


# 13
# LaMn4Au

A geometry-optimized LaMn4Au structure (PBE, Alexandria via LeMat-Bulk).

Output
- Crystal system: cubic
- E_form: 1.4 eV per formula unit
- Uncorrected energy: -0.532 Ry per atom

Cell: 5.221 5.221 5.221 Å, 60.00 60.00 60.00°
Positions (direct):
La1 0.000 0.000 0.000
Mn1 0.128 0.624 0.624
Mn2 0.624 0.128 0.624
Mn3 0.624 0.624 0.128
Mn4 0.624 0.624 0.624
Au1 0.250 0.250 0.250


# 14
# La2MnAu

A geometry-optimized La2MnAu structure (PBE, Alexandria via LeMat-Bulk).

Output
- Crystal system: tetragonal
- E_form: 0.5 eV per formula unit
- Uncorrected energy: -0.401 Ry per atom

Cell: 7.882 7.882 6.145 Å, 90.00 90.00 90.00°
Positions (direct):
La1 0.191 0.250 0.125
La2 0.250 0.691 0.375
La3 0.250 0.809 0.875
La4 0.309 0.250 0.625
La5 0.691 0.750 0.625
La6 0.750 0.191 0.875
La7 0.750 0.309 0.375
La8 0.809 0.750 0.125
Mn1 0.000 0.000 0.000
Mn2 0.000 0.500 0.250
Mn3 0.500 0.000 0.750
Mn4 0.500 0.500 0.500
Au1 0.000 0.000 0.500
Au2 0.000 0.500 0.750
Au3 0.500 0.000 0.250
Au4 0.500 0.500 0.000


# 15
# LaMnAu

A geometry-optimized LaMnAu structure (PBE, Alexandria via LeMat-Bulk).

Output
- Crystal system: tetragonal
- E_form: -0.5 eV per formula unit
- Uncorrected energy: -0.438 Ry per atom

Cell: 3.560 3.560 10.871 Å, 90.00 90.00 90.00°
Positions (direct):
La1 0.000 0.000 0.000
La2 0.500 0.500 0.500
Mn1 0.000 0.000 0.304
Mn2 0.500 0.500 0.804
Au1 0.000 0.000 0.696
Au2 0.500 0.500 0.196


# 16
# La2MnAu

A geometry-optimized La2MnAu structure (PBE, Alexandria via LeMat-Bulk).

Output
- Crystal system: cubic
- E_form: -0.4 eV per formula unit
- Uncorrected energy: -0.418 Ry per atom

Cell: 7.203 7.203 7.203 Å, 90.00 90.00 90.00°
Positions (direct):
La1 0.000 0.000 0.000
La2 0.000 0.500 0.500
La3 0.250 0.250 0.250
La4 0.250 0.750 0.750
La5 0.500 0.000 0.500
La6 0.500 0.500 0.000
La7 0.750 0.250 0.750
La8 0.750 0.750 0.250
Mn1 0.250 0.250 0.750
Mn2 0.250 0.750 0.250
Mn3 0.750 0.250 0.250
Mn4 0.750 0.750 0.750
Au1 0.000 0.000 0.500
Au2 0.000 0.500 0.000
Au3 0.500 0.000 0.000
Au4 0.500 0.500 0.500


# 17
# LaMn2Au2

A geometry-optimized LaMn2Au2 structure (PBE, Alexandria via LeMat-Bulk).

Output
- Crystal system: tetragonal
- E_form: -0.5 eV per formula unit
- Uncorrected energy: -0.445 Ry per atom

Cell: 7.847 7.847 3.182 Å, 90.00 90.00 90.00°
Positions (direct):
La1 0.000 0.000 0.000
La2 0.500 0.500 0.000
Mn1 0.133 0.367 0.000
Mn2 0.367 0.867 0.000
Mn3 0.633 0.133 0.000
Mn4 0.867 0.633 0.000
Au1 0.160 0.660 0.500
Au2 0.340 0.160 0.500
Au3 0.660 0.840 0.500
Au4 0.840 0.340 0.500


# 18
# LaMnAu

A geometry-optimized LaMnAu structure (PBE, Alexandria via LeMat-Bulk).

Output
- Crystal system: hexagonal
- E_form: -0.8 eV per formula unit
- Uncorrected energy: -0.446 Ry per atom

Cell: 4.588 4.588 3.967 Å, 90.00 90.00 120.00°
Positions (direct):
La1 0.000 0.000 0.000
Mn1 0.333 0.667 0.500
Au1 0.667 0.333 0.500


# 19
# LaMnAu

A geometry-optimized LaMnAu structure (PBE, Alexandria via LeMat-Bulk).

Output
- Crystal system: cubic
- E_form: 1.1 eV per formula unit
- Uncorrected energy: -0.399 Ry per atom

Cell: 6.999 6.999 6.999 Å, 90.00 90.00 90.00°
Positions (direct):
La1 0.000 0.000 0.000
La2 0.000 0.500 0.500
La3 0.500 0.000 0.500
La4 0.500 0.500 0.000
Mn1 0.250 0.250 0.250
Mn2 0.250 0.750 0.750
Mn3 0.750 0.250 0.750
Mn4 0.750 0.750 0.250
Au1 0.250 0.250 0.750
Au2 0.250 0.750 0.250
Au3 0.750 0.250 0.250
Au4 0.750 0.750 0.750


# 20
# LaMnAu2

A geometry-optimized LaMnAu2 structure (PBE, Alexandria via LeMat-Bulk).

Output
- Crystal system: tetragonal
- E_form: -1.0 eV per formula unit
- Uncorrected energy: -0.398 Ry per atom

Cell: 4.552 4.552 8.294 Å, 90.00 90.00 90.00°
Positions (direct):
La1 0.000 0.000 0.000
La2 0.500 0.500 0.500
Mn1 0.000 0.500 0.750
Mn2 0.500 0.000 0.250
Au1 0.000 0.000 0.500
Au2 0.000 0.500 0.250
Au3 0.500 0.000 0.750
Au4 0.500 0.500 0.000


# 21
# La2MnAu

A geometry-optimized La2MnAu structure (PBE, Alexandria via LeMat-Bulk).

Output
- Crystal system: tetragonal
- E_form: -0.9 eV per formula unit
- Uncorrected energy: -0.427 Ry per atom

Cell: 3.759 3.759 7.538 Å, 90.00 90.00 90.00°
Positions (direct):
La1 0.000 0.000 0.248
La2 0.000 0.000 0.752
Mn1 0.500 0.500 0.000
Au1 0.500 0.500 0.500


# 22
# LaMnAu2

A geometry-optimized LaMnAu2 structure (PBE, Alexandria via LeMat-Bulk).

Output
- Crystal system: tetragonal
- E_form: -1.0 eV per formula unit
- Uncorrected energy: -0.398 Ry per atom

Cell: 3.651 3.651 6.691 Å, 90.00 90.00 90.00°
Positions (direct):
La1 0.000 0.000 0.000
Mn1 0.500 0.500 0.332
Au1 0.000 0.000 0.483
Au2 0.500 0.500 0.735


# 23
# LaMnAu2

A geometry-optimized LaMnAu2 structure (PBE, Alexandria via LeMat-Bulk).

Output
- Crystal system: trigonal
- E_form: -1.4 eV per formula unit
- Uncorrected energy: -0.404 Ry per atom

Cell: 4.598 4.598 15.012 Å, 90.00 90.00 120.00°
Positions (direct):
La1 0.000 0.000 0.000
La2 0.333 0.667 0.667
La3 0.667 0.333 0.333
Mn1 0.000 0.000 0.199
Mn2 0.333 0.667 0.866
Mn3 0.667 0.333 0.533
Au1 0.000 0.000 0.535
Au2 0.000 0.000 0.790
Au3 0.333 0.667 0.202
Au4 0.333 0.667 0.457
Au5 0.667 0.333 0.123
Au6 0.667 0.333 0.869


# 24
# La2MnAu

A geometry-optimized La2MnAu structure (PBE, Alexandria via LeMat-Bulk).

Output
- Crystal system: orthorhombic
- E_form: -0.8 eV per formula unit
- Uncorrected energy: -0.424 Ry per atom

Cell: 3.688 4.975 11.350 Å, 90.00 90.00 90.00°
Positions (direct):
La1 0.000 0.000 0.000
La2 0.000 0.500 0.203
La3 0.500 0.000 0.703
La4 0.500 0.500 0.500
Mn1 0.000 0.500 0.768
Mn2 0.500 0.000 0.268
Au1 0.000 0.000 0.439
Au2 0.500 0.500 0.939


# 25
# La3MnAu

A geometry-optimized La3MnAu structure (PBE, Alexandria via LeMat-Bulk).

Output
- Crystal system: cubic
- E_form: -0.4 eV per formula unit
- Uncorrected energy: -0.406 Ry per atom

Cell: 5.203 5.203 5.203 Å, 90.00 90.00 90.00°
Positions (direct):
La1 0.000 0.000 0.500
La2 0.000 0.500 0.000
La3 0.500 0.000 0.000
Mn1 0.000 0.000 0.000
Au1 0.500 0.500 0.500


# 26
# La2MnAu

A geometry-optimized La2MnAu structure (PBE, Alexandria via LeMat-Bulk).

Output
- Crystal system: tetragonal
- E_form: -0.4 eV per formula unit
- Uncorrected energy: -0.417 Ry per atom

Cell: 3.578 3.578 8.362 Å, 90.00 90.00 90.00°
Positions (direct):
La1 0.000 0.000 0.000
La2 0.500 0.500 0.369
Mn1 0.000 0.000 0.613
Au1 0.500 0.500 0.762


# 27
# LaMnAu

A geometry-optimized LaMnAu structure (PBE, Alexandria via LeMat-Bulk).

Output
- Crystal system: cubic
- E_form: -0.2 eV per formula unit
- Uncorrected energy: -0.430 Ry per atom

Cell: 6.913 6.913 6.913 Å, 90.00 90.00 90.00°
Positions (direct):
La1 0.000 0.000 0.000
La2 0.000 0.500 0.500
La3 0.500 0.000 0.500
La4 0.500 0.500 0.000
Mn1 0.000 0.000 0.500
Mn2 0.000 0.500 0.000
Mn3 0.500 0.000 0.000
Mn4 0.500 0.500 0.500
Au1 0.250 0.250 0.750
Au2 0.250 0.750 0.250
Au3 0.750 0.250 0.250
Au4 0.750 0.750 0.750


# 28
# LaMnAu2

A geometry-optimized LaMnAu2 structure (PBE, Alexandria via LeMat-Bulk).

Output
- Crystal system: orthorhombic
- E_form: -1.5 eV per formula unit
- Uncorrected energy: -0.406 Ry per atom

Cell: 3.421 3.472 7.197 Å, 90.00 90.00 90.00°
Positions (direct):
La1 0.000 0.000 0.000
Mn1 0.000 0.000 0.500
Au1 0.500 0.500 0.298
Au2 0.500 0.500 0.702